Below is a geometry-optimized AsH2Se structure, with properties calculated at the PBE level.

As for the energy above the most stable polymorph in this dataset: 0.0 meV per atom.

The structure belongs to space group P1 (No. 1); the cell edges are 2.819, 4.185 and 7.103 Å and the angles 74.81°, 87.41° and 89.80°. The inequivalent atoms are As at (0.000, 0.000, 0.000), H at (0.409, 0.757, 0.624), H at (0.560, 0.680, 0.557) and Se at (0.979, 0.413, 0.205).